This record from Alexandria via LeMat-Bulk describes an optimized crystal structure of BeCuAg. The functional is GGA-PBE.

electronic total energy	-9.7	eV for the cell shown
SG	No. 216

abc: 3.906 3.906 3.906
angles: 60.00 60.00 60.00
Fractional coordinates of all 3 atoms:
1 Be 0.750 0.750 0.750
2 Cu 0.000 0.000 0.000
3 Ag 0.500 0.500 0.500

This record from Alexandria via LeMat-Bulk describes an optimized crystal structure of Be2CuAg. The functional is GGA-PBE.

electronic total energy	-13.4	eV for the cell shown
SG	No. 216

abc: 4.074 4.074 4.074
angles: 60.00 60.00 60.00
Fractional coordinates of all 4 atoms:
1 Be 0.000 0.000 0.000
2 Be 0.250 0.250 0.250
3 Cu 0.750 0.750 0.750
4 Ag 0.500 0.500 0.500

This record from Alexandria via LeMat-Bulk describes an optimized crystal structure of Be2CuAg. The functional is GGA-PBE.

electronic total energy	-14.1	eV for the cell shown
SG	No. 99

abc: 2.783 2.783 5.920
angles: 90.00 90.00 90.00
Fractional coordinates of all 4 atoms:
1 Be 0.000 0.000 0.046
2 Be 0.500 0.500 0.235
3 Cu 0.000 0.000 0.441
4 Ag 0.500 0.500 0.778

This record from Alexandria via LeMat-Bulk describes an optimized crystal structure of Be2CuAg. The functional is GGA-PBE.

electronic total energy	-14.0	eV for the cell shown
SG	No. 8

abc: 4.533 4.533 4.119
angles: 71.62 71.62 35.17
Fractional coordinates of all 4 atoms:
1 Be 0.983 0.983 0.987
2 Be 0.263 0.263 0.276
3 Cu 0.517 0.517 0.445
4 Ag 0.737 0.737 0.792

This record from Alexandria via LeMat-Bulk describes an optimized crystal structure of Be2CuAg. The functional is GGA-PBE.

electronic total energy	-14.1	eV for the cell shown
SG	No. 225

abc: 4.007 4.007 4.007
angles: 60.00 60.00 60.00
Fractional coordinates of all 4 atoms:
1 Be 0.250 0.250 0.250
2 Be 0.750 0.750 0.750
3 Cu 0.000 0.000 0.000
4 Ag 0.500 0.500 0.500

This record from Alexandria via LeMat-Bulk describes an optimized crystal structure of BeCuAg4. The functional is GGA-PBE.

electronic total energy	-15.6	eV for the cell shown
SG	No. 216

abc: 5.374 5.374 5.374
angles: 60.00 60.00 60.00
Fractional coordinates of all 6 atoms:
1 Be 0.750 0.750 0.750
2 Cu 0.000 0.000 0.000
3 Ag 0.875 0.375 0.375
4 Ag 0.375 0.375 0.875
5 Ag 0.375 0.875 0.375
6 Ag 0.375 0.375 0.375

This record from Alexandria via LeMat-Bulk describes an optimized crystal structure of Be2CuAg. The functional is GGA-PBE.

electronic total energy	-13.9	eV for the cell shown
SG	No. 44

abc: 4.725 4.725 4.725
angles: 144.72 130.19 62.50
Fractional coordinates of all 4 atoms:
1 Be 0.984 0.984 0.000
2 Be 0.757 0.257 0.500
3 Cu 0.518 0.518 0.000
4 Ag 0.241 0.741 0.500

This record from Alexandria via LeMat-Bulk describes an optimized crystal structure of Be2CuAg. The functional is GGA-PBE.

electronic total energy	-14.0	eV for the cell shown
SG	No. 6

abc: 3.773 2.669 4.776
angles: 73.91 90.00 90.00
Fractional coordinates of all 4 atoms:
1 Be 0.000 0.184 0.006
2 Be 0.500 0.055 0.268
3 Cu 0.000 0.472 0.429
4 Ag 0.500 0.789 0.797

This record from Alexandria via LeMat-Bulk describes an optimized crystal structure of Be4CuAg. The functional is GGA-PBE.

electronic total energy	-22.1	eV for the cell shown
SG	No. 216

abc: 4.394 4.394 4.394
angles: 60.00 60.00 60.00
Fractional coordinates of all 6 atoms:
1 Ag 0.000 0.000 0.000
2 Be 0.127 0.624 0.624
3 Be 0.624 0.624 0.624
4 Be 0.624 0.127 0.624
5 Be 0.624 0.624 0.127
6 Cu 0.250 0.250 0.250

This record from Alexandria via LeMat-Bulk describes an optimized crystal structure of Be2CuAg. The functional is GGA-PBE.

electronic total energy	-13.4	eV for the cell shown
SG	No. 166

abc: 8.008 8.008 8.008
angles: 19.14 19.14 19.14
Fractional coordinates of all 4 atoms:
1 Be 0.995 0.995 0.995
2 Be 0.505 0.505 0.505
3 Cu 0.250 0.250 0.250
4 Ag 0.750 0.750 0.750

This record from Alexandria via LeMat-Bulk describes an optimized crystal structure of Be2CuAg. The functional is GGA-PBE.

electronic total energy	-24.6	eV for the cell shown
SG	No. 122

abc: 3.603 3.603 8.505
angles: 77.77 77.77 90.00
Fractional coordinates of all 8 atoms:
1 Be 0.576 0.125 0.250
2 Be 0.174 0.625 0.250
3 Be 0.375 0.424 0.750
4 Be 0.875 0.826 0.750
5 Cu 0.500 0.500 0.000
6 Cu 0.250 0.750 0.500
7 Ag 0.000 0.000 0.000
8 Ag 0.750 0.250 0.500

This record from Alexandria via LeMat-Bulk describes an optimized crystal structure of Be3CuAg. The functional is GGA-PBE.

electronic total energy	-15.1	eV for the cell shown
SG	No. 221

abc: 4.047 4.047 4.047
angles: 90.00 90.00 90.00
Fractional coordinates of all 5 atoms:
1 Be 0.000 0.500 0.000
2 Be 0.000 0.000 0.500
3 Be 0.500 0.000 0.000
4 Cu 0.000 0.000 0.000
5 Ag 0.500 0.500 0.500

This record from Alexandria via LeMat-Bulk describes an optimized crystal structure of Be2CuAg. The functional is GGA-PBE.

electronic total energy	-14.0	eV for the cell shown
SG	No. 123

abc: 3.973 3.973 2.891
angles: 90.00 90.00 90.00
Fractional coordinates of all 4 atoms:
1 Be 0.000 0.000 0.000
2 Be 0.500 0.500 0.000
3 Cu 0.500 0.000 0.500
4 Ag 0.000 0.500 0.500

This record from Alexandria via LeMat-Bulk describes an optimized crystal structure of Be3CuAg. The functional is GGA-PBE.

electronic total energy	-12.9	eV for the cell shown
SG	No. 221

abc: 4.268 4.268 4.268
angles: 90.00 90.00 90.00
Fractional coordinates of all 5 atoms:
1 Be 0.000 0.500 0.000
2 Be 0.000 0.000 0.500
3 Be 0.500 0.000 0.000
4 Cu 0.500 0.500 0.500
5 Ag 0.000 0.000 0.000

This record from Alexandria via LeMat-Bulk describes an optimized crystal structure of BeCuAg. The functional is GGA-PBE.

electronic total energy	-10.2	eV for the cell shown
SG	No. 156

abc: 4.023 4.023 2.739
angles: 90.00 90.00 120.00
Fractional coordinates of all 3 atoms:
1 Be 0.333 0.667 0.495
2 Cu 0.667 0.333 0.503
3 Ag 0.000 0.000 0.001

This record from Alexandria via LeMat-Bulk describes an optimized crystal structure of Dy2Be3Cu12Ag. The functional is GGA-PBE.

electronic total energy	-66.1	eV for the cell shown
SG	No. 166

abc: 7.472 7.472 7.472
angles: 59.45 59.45 59.45
Fractional coordinates of all 18 atoms:
1 Dy 0.600 0.600 0.600
2 Dy 0.400 0.400 0.400
3 Be 0.500 0.000 0.000
4 Be 0.000 0.500 0.000
5 Be 0.000 0.000 0.500
6 Cu 0.339 0.339 0.891
7 Cu 0.860 0.860 0.425
8 Cu 0.425 0.860 0.860
9 Cu 0.891 0.339 0.339
10 Cu 0.860 0.425 0.860
11 Cu 0.339 0.891 0.339
12 Cu 0.661 0.661 0.109
13 Cu 0.140 0.140 0.575
14 Cu 0.575 0.140 0.140
15 Cu 0.109 0.661 0.661
16 Cu 0.140 0.575 0.140
17 Cu 0.661 0.109 0.661
18 Ag 0.000 0.000 0.000

This record from Alexandria via LeMat-Bulk describes an optimized crystal structure of BeCuAgF6. The functional is GGA-PBE.

SG	No. 163
formation energy (no corrections)	-1873	meV/atom

abc: 4.963 4.963 10.025
angles: 90.00 90.00 120.00
Each line ends with the local moment (μB).
Fractional coordinates of all 18 atoms:
1 Be 0.667 0.333 0.250  -0.01
2 Be 0.333 0.667 0.750  -0.01
3 Cu 0.333 0.667 0.250  0.94
4 Cu 0.667 0.333 0.750  0.94
5 Ag 0.000 0.000 0.000  0.34
6 Ag 0.000 0.000 0.500  0.34
7 F 0.645 0.617 0.149  0.12
8 F 0.972 0.355 0.149  0.12
9 F 0.355 0.972 0.649  0.12
10 F 0.028 0.645 0.851  0.12
11 F 0.383 0.355 0.351  0.12
12 F 0.972 0.617 0.351  0.12
13 F 0.617 0.972 0.851  0.12
14 F 0.645 0.028 0.351  0.12
15 F 0.028 0.383 0.649  0.12
16 F 0.383 0.028 0.149  0.12
17 F 0.617 0.645 0.649  0.12
18 F 0.355 0.383 0.851  0.12

This record from Alexandria via LeMat-Bulk describes an optimized crystal structure of BeFe2CuAg. The functional is GGA-PBE.

electronic total energy	-20.9	eV for the cell shown
SG	No. 123

abc: 4.359 4.674 4.359
angles: 90.00 90.00 90.00
Each line ends with the local moment (μB).
Fractional coordinates of all 5 atoms:
1 Be 0.500 0.500 0.500  -0.08
2 Cu 0.000 0.000 0.000  0.22
3 Ag 0.000 0.500 0.000  -0.02
4 Fe 0.000 0.000 0.500  3.40
5 Fe 0.500 0.000 0.000  2.56

This record from Alexandria via LeMat-Bulk describes an optimized crystal structure of Ho2Be3Cu12Ag. The functional is GGA-PBE.

electronic total energy	-66.0	eV for the cell shown
SG	No. 166

abc: 7.437 7.437 7.437
angles: 59.84 59.84 59.84
Fractional coordinates of all 18 atoms:
1 Ho 0.599 0.599 0.599
2 Ho 0.401 0.401 0.401
3 Be 0.500 0.000 0.000
4 Be 0.000 0.500 0.000
5 Be 0.000 0.000 0.500
6 Cu 0.339 0.339 0.891
7 Cu 0.859 0.859 0.426
8 Cu 0.426 0.859 0.859
9 Cu 0.891 0.339 0.339
10 Cu 0.859 0.426 0.859
11 Cu 0.339 0.891 0.339
12 Cu 0.661 0.661 0.109
13 Cu 0.141 0.141 0.574
14 Cu 0.574 0.141 0.141
15 Cu 0.109 0.661 0.661
16 Cu 0.141 0.574 0.141
17 Cu 0.661 0.109 0.661
18 Ag 0.000 0.000 0.000

This record from Alexandria via LeMat-Bulk describes an optimized crystal structure of BeInCu2Ag. The functional is GGA-PBE.

electronic total energy	-11.7	eV for the cell shown
SG	No. 123

abc: 4.784 5.091 4.784
angles: 90.00 90.00 90.00
Fractional coordinates of all 5 atoms:
1 Be 0.500 0.500 0.500
2 Cu 0.000 0.000 0.500
3 Cu 0.500 0.000 0.000
4 Ag 0.000 0.000 0.000
5 In 0.000 0.500 0.000

This record from Alexandria via LeMat-Bulk describes an optimized crystal structure of Be2InCuAg. The functional is GGA-PBE.

electronic total energy	-12.4	eV for the cell shown
SG	No. 123

abc: 4.370 5.186 4.370
angles: 90.00 90.00 90.00
Fractional coordinates of all 5 atoms:
1 Be 0.000 0.000 0.500
2 Be 0.500 0.000 0.000
3 Cu 0.500 0.500 0.500
4 Ag 0.000 0.000 0.000
5 In 0.000 0.500 0.000

This record from Alexandria via LeMat-Bulk describes an optimized crystal structure of La2Be3Cu12Ag. The functional is GGA-PBE.

electronic total energy	-67.3	eV for the cell shown
SG	No. 166

abc: 7.597 7.597 7.597
angles: 59.21 59.21 59.21
Fractional coordinates of all 18 atoms:
1 La 0.606 0.606 0.606
2 La 0.394 0.394 0.394
3 Be 0.500 0.000 0.000
4 Be 0.000 0.500 0.000
5 Be 0.000 0.000 0.500
6 Cu 0.336 0.336 0.898
7 Cu 0.872 0.872 0.412
8 Cu 0.412 0.872 0.872
9 Cu 0.898 0.336 0.336
10 Cu 0.872 0.412 0.872
11 Cu 0.336 0.898 0.336
12 Cu 0.664 0.664 0.102
13 Cu 0.128 0.128 0.588
14 Cu 0.588 0.128 0.128
15 Cu 0.102 0.664 0.664
16 Cu 0.128 0.588 0.128
17 Cu 0.664 0.102 0.664
18 Ag 0.000 0.000 0.000

This record from Alexandria via LeMat-Bulk describes an optimized crystal structure of LaBeCuAg2. The functional is GGA-PBE.

electronic total energy	-18.5	eV for the cell shown
SG	No. 123

abc: 4.655 4.655 4.491
angles: 90.00 90.00 90.00
Fractional coordinates of all 5 atoms:
1 Be 0.000 0.000 0.000
2 Cu 0.000 0.000 0.500
3 Ag 0.000 0.500 0.000
4 Ag 0.500 0.000 0.000
5 La 0.500 0.500 0.500

This record from Alexandria via LeMat-Bulk describes an optimized crystal structure of LiBeCuAg. The functional is GGA-PBE.

electronic total energy	-12.5	eV for the cell shown
SG	No. 216

abc: 4.123 4.123 4.123
angles: 60.00 60.00 60.00
Fractional coordinates of all 4 atoms:
1 Be 0.500 0.500 0.500
2 Cu 0.250 0.250 0.250
3 Ag 0.750 0.750 0.750
4 Li 0.000 0.000 0.000

This record from Alexandria via LeMat-Bulk describes an optimized crystal structure of MnBeCu2Ag. The functional is GGA-PBE.

electronic total energy	-21.5	eV for the cell shown
SG	No. 123

abc: 4.105 4.189 4.105
angles: 90.00 90.00 90.00
Each line ends with the local moment (μB).
Fractional coordinates of all 5 atoms:
1 Be 0.000 0.000 0.000  -0.11
2 Mn 0.000 0.500 0.000  3.28
3 Cu 0.000 0.000 0.500  -0.01
4 Cu 0.500 0.000 0.000  -0.02
5 Ag 0.500 0.500 0.500  0.00

This record from Alexandria via LeMat-Bulk describes an optimized crystal structure of NaBeCu2Ag. The functional is GGA-PBE.

electronic total energy	-12.7	eV for the cell shown
SG	No. 123

abc: 4.879 4.377 4.879
angles: 90.00 90.00 90.00
Fractional coordinates of all 5 atoms:
1 Na 0.500 0.500 0.500
2 Cu 0.000 0.000 0.500
3 Cu 0.500 0.000 0.000
4 Ag 0.000 0.000 0.000
5 Be 0.000 0.500 0.000